No. 1
AgWCl2: relaxed, PBE.

a = 2.9316 Å, b = 5.0863 Å, c = 13.1131 Å
α = 90.00°, β = 90.00°, γ = 90.00°
Space group Immm (No. 71)
Inequivalent atoms, fractional coordinates:
Ag  0.0000  0.0000  0.0000 x2
W  0.0000  0.0000  0.5000 x2
Cl  0.0000  0.5000  0.1475 x4

Energy above the lowest structure with this stoichiometry, meV per atom: 0.0
V, Å³/atom: 24.4

No. 2
AgW2Cl: relaxed, PBE.

a = 2.9131 Å, b = 4.7986 Å, c = 4.9291 Å
α = 90.00°, β = 90.00°, γ = 90.00°
Space group Pmmm (No. 47)
Inequivalent atoms, fractional coordinates:
Ag  0.0000  0.0000  0.0000 x1
W  0.0000  0.5000  0.5000 x1
W  0.5000  0.0000  0.5000 x1
Cl  0.5000  0.5000  0.0000 x1

Energy above the lowest structure with this stoichiometry, meV per atom: 823.4
V, Å³/atom: 17.2

No. 3
AgW2Cl: relaxed, PBE.

a = 2.7730 Å, b = 4.2995 Å, c = 5.5908 Å
α = 90.00°, β = 93.66°, γ = 90.00°
Space group P2/m (No. 10)
Inequivalent atoms, fractional coordinates:
Ag  0.0000  0.0000  0.0000 x1
W  0.4621  0.5000  0.7468 x2
Cl  0.5000  0.0000  0.5000 x1

Energy above the lowest structure with this stoichiometry, meV per atom: 681.2
V, Å³/atom: 16.6

No. 4
AgWCl: relaxed, PBE.

a = 6.1475 Å, b = 6.1475 Å, c = 6.1475 Å
α = 90.00°, β = 90.00°, γ = 90.00°
Space group F-43m (No. 216)
Inequivalent atoms, fractional coordinates:
Ag  0.0000  0.0000  0.0000 x4
W  0.2500  0.2500  0.2500 x4
Cl  0.0000  0.0000  0.5000 x4

Energy above the lowest structure with this stoichiometry, meV per atom: 1052.2
V, Å³/atom: 19.4

No. 5
AgW2Cl8: relaxed, PBE.

a = 15.4204 Å, b = 6.4680 Å, c = 6.9207 Å
α = 90.00°, β = 114.59°, γ = 90.00°
Space group C2/m (No. 12)
Inequivalent atoms, fractional coordinates:
Ag  0.0000  0.0000  0.0000 x2
W  0.2473  0.5000  0.0026 x4
Cl  0.1385  0.2477  0.7556 x8
Cl  0.1570  0.5000  0.1967 x4
Cl  0.1676  0.0000  0.2228 x4

V, Å³/atom: 28.5

No. 6
AgWCl2: relaxed, PBE.

a = 6.1431 Å, b = 8.3588 Å, c = 2.9270 Å
α = 90.00°, β = 90.26°, γ = 90.00°
Space group C2/m (No. 12)
Inequivalent atoms, fractional coordinates:
Ag  0.0000  0.0000  0.0000 x2
W  0.0000  0.5000  0.0000 x2
Cl  0.2500  0.2500  0.0000 x4

Energy above the lowest structure with this stoichiometry, meV per atom: 571.0
V, Å³/atom: 18.8

Number 1: E -38.614 eV for the cell shown, ΔE_f (raw) 0.048 eV/atom, DOS(E_F) 0.72 states/eV/atom. Number 2: E -26.301 eV for the cell shown, ΔE_f (raw) 1.076 eV/atom, DOS(E_F) 1.01 states/eV/atom. Number 3: E -26.870 eV for the cell shown, ΔE_f (raw) 0.934 eV/atom, DOS(E_F) 0.78 states/eV/atom. Number 4: E -53.809 eV for the cell shown, ΔE_f (raw) 1.400 eV/atom, DOS(E_F) 1.04 states/eV/atom. Number 5: E -100.461 eV for the cell shown, ΔE_f (raw) -0.609 eV/atom, DOS(E_F) 0.49 states/eV/atom. Number 6: E -34.046 eV for the cell shown, ΔE_f (raw) 0.619 eV/atom, DOS(E_F) 0.75 states/eV/atom.